VASP calculation (PBE) on crystalline Dy3Fe7Co2 at its relaxed geometry.

abc: 5.0401 5.0401 24.3286
angles: 90.00 90.00 120.00
Space group R-3m (No. 166, hexagonal axes)
Unique sites:
Dy  0.0000  0.0000  0.0000 x3
Dy  0.0000  0.0000  0.1420 x6
Fe  0.0000  0.0000  0.5000 x3
Fe  0.0011  0.5006  0.0814 x18
Co  0.0000  0.0000  0.3324 x6

Output
E_form: -0.093 eV/atom

VASP calculation (PBE) on crystalline ZrAlAsO at its relaxed geometry.

abc: 3.692 6.618 5.412
angles: 90.00 90.00 90.00
Space group Pmc2_1 (No. 26)
Unique sites:
Zr  0.000  0.130  0.000 x2
Al  0.500  0.493  0.742 x2
As  0.000  0.284  0.499 x2
O  0.500  0.305  0.000 x2

Output
distance to the lowest polymorph of the same formula: 51 meV/atom

VASP calculation (PBE) on crystalline RbTbSnTe3 at its relaxed geometry.

abc: 4.890 16.802 12.181
angles: 90.00 90.00 90.00
Space group Cmcm (No. 63)
Unique sites:
Rb  0.000  0.250  0.250 x4
Tb  0.000  0.028  0.750 x4
Sn  0.000  0.500  0.000 x4
Te  0.000  0.128  0.556 x8
Te  0.000  0.426  0.750 x4

Output
distance to the lowest polymorph of the same formula: 153 meV/atom

VASP calculation (PBE) on crystalline TbDyGa2Pd4 at its relaxed geometry.

abc: 4.693 4.693 6.641
angles: 90.00 90.00 90.00
Space group P4/mmm (No. 123)
Unique sites:
Tb  0.000  0.000  0.000 x1
Dy  0.500  0.500  0.500 x1
Ga  0.000  0.000  0.500 x1
Ga  0.500  0.500  0.000 x1
Pd  0.000  0.500  0.251 x4

Output
distance to the lowest polymorph of the same formula: 89 meV/atom

VASP calculation (PBE) on crystalline TbNdTlFe2 at its relaxed geometry.

abc: 3.896 3.914 14.388
angles: 90.00 90.00 90.00
Space group Amm2 (No. 38)
Unique sites:
Tb  0.000  0.000  0.000 x2
Nd  0.000  0.000  0.725 x2
Tl  0.500  0.000  0.365 x2
Fe  0.500  0.000  0.151 x2
Fe  0.500  0.000  0.566 x2

Output
VASP energy: -0.424 Ry/atom

VASP calculation (PBE) on crystalline Sr2TlAu at its relaxed geometry.

abc: 7.617 7.617 7.617
angles: 90.00 90.00 90.00
Space group F-43m (No. 216)
Unique sites:
Sr  0.000  0.000  0.000 x4
Sr  0.250  0.250  0.250 x4
Tl  0.000  0.000  0.500 x4
Au  0.250  0.250  0.750 x4

Output
VASP energy: -0.188 Ry/atom

VASP calculation (PBE) on crystalline YHfCuB at its relaxed geometry.

abc: 6.488 6.488 6.488
angles: 90.00 90.00 90.00
Space group F-43m (No. 216)
Unique sites:
Y  0.000  0.000  0.000 x4
Hf  0.250  0.250  0.750 x4
Cu  0.000  0.000  0.500 x4
B  0.250  0.250  0.250 x4

Output
distance to the lowest polymorph of the same formula: 19 meV/atom

VASP calculation (PBE) on crystalline Hf4CdHgC2 at its relaxed geometry.

abc: 3.2955 3.2955 14.9504
angles: 90.00 90.00 120.00
Space group P-6m2 (No. 187)
Unique sites:
Hf  0.0000  0.0000  0.1646 x2
Hf  0.3333  0.6667  0.3305 x2
Cd  0.0000  0.0000  0.5000 x1
Hg  0.3333  0.6667  0.0000 x1
C  0.6667  0.3333  0.2476 x2

Output
VASP energy: -0.590 Ry/atom

- Which formula does entry 5 have?
  TbNdTlFe2